Entry 1:
{"formula": "Pm4Er4Th", "functional": "PBE", "state": "optimized geometry", "lattice_angstrom": [[-2.9569, -1.3660, -3.8509], [4.5115, -0.4382, -6.6117], [-0.0224, -8.0038, -0.4466]], "species": ["Pm", "Pm", "Pm", "Pm", "Er", "Er", "Er", "Er", "Th"], "fractional_positions": [[0.3290, 0.6709, 0.6712], [0.9999, 0.6712, 0.3291], [0.6710, 0.3291, 0.3288], [0.0001, 0.3288, 0.6709], [0.6638, 0.0001, 0.6723], [0.3361, 0.3277, 0.0001], [0.6639, 0.6723, 0.9999], [0.3362, 0.9999, 0.3277], [0.0000, 0.0000, 0.0000]], "magmom_total_mub_per_cell": 0.00, "delta_e_f_ev_per_atom": 0.027, "density_g_cm3": 8.42, "space_group": "I4/mmm", "total_energy_ev_per_atom": -4.94}

=====

Entry 2:
{"formula": "Pm2ErTh", "functional": "PBE", "state": "optimized geometry", "lattice_angstrom": [[7.1560, 0.0000, 0.0000], [0.0000, 6.2463, -0.2970], [-3.5780, -1.7721, 5.9671]], "species": ["Pm", "Pm", "Pm", "Pm", "Er", "Er", "Th", "Th"], "fractional_positions": [[0.6259, 0.7510, 0.5046], [0.1214, 0.7490, 0.4954], [0.8786, 0.2510, 0.5046], [0.3741, 0.2490, 0.4954], [0.3721, 0.2500, 0.0000], [0.6279, 0.7500, 0.0000], [0.8827, 0.2500, 0.0000], [0.1173, 0.7500, 0.0000]], "magmom_total_mub_per_cell": 0.00, "delta_e_f_ev_per_atom": 0.044, "density_g_cm3": 8.71, "space_group": "C2/c", "total_energy_ev_per_atom": -5.33}

=====

Entry 3:
{"formula": "Pm15Er4Th", "functional": "PBE", "state": "optimized geometry", "lattice_angstrom": [[5.1249, 0.0000, 0.0000], [0.0000, 5.1249, 0.0000], [0.0000, 0.0000, 25.5627]], "species": ["Pm", "Pm", "Pm", "Pm", "Pm", "Pm", "Pm", "Pm", "Pm", "Pm", "Pm", "Pm", "Pm", "Pm", "Pm", "Er", "Er", "Er", "Er", "Th"], "fractional_positions": [[0.5000, 0.0000, 0.3002], [0.0000, 0.5000, 0.5000], [0.0000, 0.5000, 0.9007], [0.0000, 0.5000, 0.6998], [0.5000, 0.5000, 0.5995], [0.0000, 0.5000, 0.3002], [0.5000, 0.0000, 0.9007], [0.5000, 0.5000, 0.7977], [0.5000, 0.0000, 0.0993], [0.5000, 0.0000, 0.5000], [0.5000, 0.5000, 0.4005], [0.5000, 0.5000, 0.2023], [0.5000, 0.0000, 0.6998], [0.5000, 0.5000, 0.0000], [0.0000, 0.5000, 0.0993], [0.0000, 0.0000, 0.7993], [0.0000, 0.0000, 0.5998], [0.0000, 0.0000, 0.2007], [0.0000, 0.0000, 0.4002], [0.0000, 0.0000, 0.0000]], "magmom_total_mub_per_cell": 0.00, "delta_e_f_ev_per_atom": 0.024, "density_g_cm3": 7.61, "space_group": "P4/mmm", "total_energy_ev_per_atom": -4.82}